1.
The following is a PBE calculation of crystalline LaHgS2 at its relaxed geometry, from the Alexandria database.

Calculated values
Formation energy without anion corrections in eV per atom: -0.996
Calculated total energy in eV per atom: -4.3666
Total magnetization in Bohr magnetons per cell: 0.0

Cell: 8.283 8.283 8.283 Å, 135.92 135.92 64.11°
Fractional positions:
La 0.000 0.000 0.000
La 0.750 0.250 0.500
Hg 0.250 0.750 0.500
Hg 0.500 0.500 0.000
S 0.113 0.625 0.988
S 0.375 0.363 0.488
S 0.637 0.125 0.012
S 0.875 0.887 0.512



2.
The following is a PBE calculation of crystalline La2HgS at its relaxed geometry, from the Alexandria database.

Calculated values
Formation energy without anion corrections in eV per atom: -1.248
Excess energy over the best structure of this formula in the dataset in meV/atom: 0
Calculated total energy in eV per atom: -4.8193
Total magnetization in Bohr magnetons per cell: 0.0

Cell: 8.072 8.072 8.072 Å, 30.18 30.18 30.18°
Fractional positions:
La 0.238 0.238 0.238
La 0.762 0.762 0.762
Hg 0.000 0.000 0.000
S 0.500 0.500 0.500



3.
The following is a PBE calculation of crystalline LaHgS2 at its relaxed geometry, from the Alexandria database.

Calculated values
Formation energy without anion corrections in eV per atom: -1.176
Calculated total energy in eV per atom: -4.5474
Total magnetization in Bohr magnetons per cell: 0.0

Cell: 8.580 8.580 8.580 Å, 29.09 29.09 29.09°
Fractional positions:
La 0.000 0.000 0.000
Hg 0.500 0.500 0.500
S 0.393 0.393 0.393
S 0.607 0.607 0.607